A relaxed structure of CoIBr2Cl. Source: Alexandria via LeMat-Bulk, functional PBE.

The structure belongs to space group P4/mmm (No. 123); the cell edges are 4.774, 4.774 and 5.828 Å and the angles 90.00°, 90.00° and 90.00°. Symmetry generates all atoms from Co at (0.000, 0.000, 0.000), I at (0.000, 0.000, 0.500), Br at (0.000, 0.500, 0.000) and Cl at (0.500, 0.500, 0.500).

The uncorrected formation energy is 0.1762 eV per atom.

---

A relaxed structure of Nb4CuSi. Source: Alexandria via LeMat-Bulk, functional PBE.

The structure belongs to space group P4/mcc (No. 124); the cell edges are 6.253, 6.253 and 5.048 Å and the angles 90.00°, 90.00° and 90.00°. Symmetry generates all atoms from Nb at (0.158, 0.341, 0.000), Cu at (0.500, 0.500, 0.250) and Si at (0.000, 0.000, 0.250).

The uncorrected formation energy is -0.2601 eV per atom.

---

A relaxed structure of K2ScRh. Source: Alexandria via LeMat-Bulk, functional PBE.

The structure belongs to space group Cmmm (No. 65); the cell edges are 5.509, 11.739 and 3.460 Å and the angles 90.00°, 90.00° and 90.00°. Symmetry generates all atoms from K at (0.250, 0.250, 0.000), Sc at (0.000, 0.000, 0.500) and Rh at (0.000, 0.500, 0.500).

The formation energy is 0.697 eV/atom.

---

A relaxed structure of Li2B2IrRh5. Source: Alexandria via LeMat-Bulk, functional PBE.

The structure belongs to space group P4/mbm (No. 127); the cell edges are 9.592, 9.592 and 2.821 Å and the angles 90.00°, 90.00° and 90.00°. Symmetry generates all atoms from Li at (0.176, 0.324, 0.000), B at (0.121, 0.621, 0.000), Ir at (0.000, 0.000, 0.000), Rh at (0.000, 0.500, 0.500) and Rh at (0.073, 0.778, 0.500).

The formation energy is -0.299 eV/atom.

---

A relaxed structure of SnIrOsC. Source: Alexandria via LeMat-Bulk, functional PBE.

The structure belongs to space group Cm (No. 8); the cell edges are 5.211, 3.022 and 7.337 Å and the angles 90.00°, 103.84° and 90.00°. Symmetry generates all atoms from Sn at (0.000, 0.000, 0.000), Ir at (0.439, 0.000, 0.308), Os at (0.058, 0.500, 0.684) and C at (0.165, 0.000, 0.511).

The formation energy is 0.553 eV/atom.

---

A relaxed structure of Ca2TlIn2Pd5. Source: Alexandria via LeMat-Bulk, functional PBE.

The structure belongs to space group P4/mbm (No. 127); the cell edges are 10.511, 10.511 and 3.758 Å and the angles 90.00°, 90.00° and 90.00°. Symmetry generates all atoms from Ca at (0.171, 0.329, 0.000), Tl at (0.000, 0.000, 0.000), In at (0.128, 0.628, 0.000), Pd at (0.000, 0.500, 0.500) and Pd at (0.058, 0.802, 0.500).

The formation energy is -0.504 eV/atom.

---

A relaxed structure of TaVAsSe2. Source: Alexandria via LeMat-Bulk, functional PBE.

The structure belongs to space group P4/mmm (No. 123); the cell edges are 4.729, 4.729 and 4.782 Å and the angles 90.00°, 90.00° and 90.00°. Symmetry generates all atoms from Ta at (0.000, 0.000, 0.000), V at (0.500, 0.500, 0.500), As at (0.500, 0.500, 0.000) and Se at (0.000, 0.500, 0.500).

The uncorrected formation energy is 0.6533 eV per atom.

---

A relaxed structure of Zr2TcRu. Source: Alexandria via LeMat-Bulk, functional PBE.

The structure belongs to space group Immm (No. 71); the cell edges are 3.386, 4.998 and 8.466 Å and the angles 90.00°, 90.00° and 90.00°. Symmetry generates all atoms from Zr at (0.000, 0.000, 0.249), Tc at (0.000, 0.500, 0.000) and Ru at (0.000, 0.500, 0.500).

The formation energy is -0.159 eV/atom.

---

A relaxed structure of Rb2ScP. Source: Alexandria via LeMat-Bulk, functional PBE.

The structure belongs to space group I-42d (No. 122); the cell edges are 13.401, 13.401 and 4.976 Å and the angles 90.00°, 90.00° and 90.00°. Symmetry generates all atoms from Rb at (0.068, 0.250, 0.125), Sc at (0.000, 0.000, 0.500) and P at (0.000, 0.000, 0.000).

The formation energy is -0.093 eV/atom.

---

A relaxed structure of Pr4Fe. Source: Alexandria via LeMat-Bulk, functional PBE.

The structure belongs to space group Pm-3m (No. 221); the cell edges are 5.470, 5.470 and 5.470 Å and the angles 90.00°, 90.00° and 90.00°. Symmetry generates all atoms from Pr at (0.000, 0.000, 0.000), Pr at (0.000, 0.500, 0.500) and Fe at (0.500, 0.500, 0.500).

The formation energy is 0.215 eV/atom.

---

A relaxed structure of Pr4Bi2SbTe. Source: Alexandria via LeMat-Bulk, functional PBE.

The structure belongs to space group P2/m (No. 10); the cell edges are 7.951, 4.601 and 7.956 Å and the angles 90.00°, 109.47° and 90.00°. Symmetry generates all atoms from Pr at (0.246, 0.000, 0.245), Pr at (0.250, 0.500, 0.754), Bi at (0.500, 0.000, 0.000), Bi at (0.500, 0.500, 0.500), Sb at (0.000, 0.500, 0.000) and Te at (0.000, 0.000, 0.500).

The uncorrected formation energy is -1.1663 eV per atom.

---

A relaxed structure of Dy2Ga2Pd. Source: Alexandria via LeMat-Bulk, functional PBE.

The structure belongs to space group Ibam (No. 72); the cell edges are 6.201, 12.311 and 5.790 Å and the angles 90.00°, 90.00° and 90.00°. Symmetry generates all atoms from Dy at (0.228, 0.169, 0.000), Ga at (0.167, 0.422, 0.000) and Pd at (0.000, 0.000, 0.250).

The formation energy is -0.588 eV/atom.

---

Mass density values, unit g/cm3, following the record order: 4.8 7.8 3.4 9.5 15.2 8.4 7.2 8.8 1.8 6.3 7.4 8.6.